1.
# LiPm4Te5 PBE optimized geometry
# energy relative to the lowest polymorph listed for this composition = 25 meV per atom
# E = -100.41 eV/cell
# formation energy without anion corrections = -1.36 eV/atom
data_LiPm4Te5
_chemical_formula_sum 'Li2 Pm8 Te10'
_cell_length_a 4.4504
_cell_length_b 4.4504
_cell_length_c 31.4772
_cell_angle_alpha 90.00
_cell_angle_beta 90.00
_cell_angle_gamma 90.00
_symmetry_space_group_name_H-M 'I 4/m m m'
_symmetry_Int_Tables_number 139
_symmetry_space_group_name_Hall '-I 4 2'
loop_
_atom_site_label
_atom_site_type_symbol
_atom_site_fract_x
_atom_site_fract_y
_atom_site_fract_z
Li1 Li 0.0000 0.0000 0.0000
Pm1 Pm 0.0000 0.0000 0.2023
Pm2 Pm 0.0000 0.0000 0.4031
Te1 Te 0.0000 0.0000 0.0991
Te2 Te 0.0000 0.0000 0.3023
Te3 Te 0.0000 0.0000 0.5000

2.
# Li2Pm2Te3 PBE optimized geometry
# E = -29.31 eV/cell
# formation energy without anion corrections = -0.94 eV/atom
data_Li2Pm2Te3
_chemical_formula_sum 'Li2 Pm2 Te3'
_cell_length_a 4.3462
_cell_length_b 7.2138
_cell_length_c 7.5402
_cell_angle_alpha 97.09
_cell_angle_beta 90.00
_cell_angle_gamma 107.53
_symmetry_space_group_name_H-M 'P -1'
_symmetry_Int_Tables_number 2
_symmetry_space_group_name_Hall '-P 1'
loop_
_atom_site_label
_atom_site_type_symbol
_atom_site_fract_x
_atom_site_fract_y
_atom_site_fract_z
Li1 Li 0.1226 0.2460 0.3934
Pm1 Pm 0.3803 0.7610 0.1291
Te1 Te 0.2562 0.5122 0.7499
Te2 Te 0.5000 0.0000 0.5000

3.
# LiPm3Te6 PBE optimized geometry
# E = -185.56 eV/cell
# formation energy without anion corrections = -1.14 eV/atom
data_LiPm3Te6
_chemical_formula_sum 'Li4 Pm12 Te24'
_cell_length_a 12.5127
_cell_length_b 13.6323
_cell_length_c 7.8901
_cell_angle_alpha 90.00
_cell_angle_beta 90.00
_cell_angle_gamma 90.00
_symmetry_space_group_name_H-M 'C m c 21'
_symmetry_Int_Tables_number 36
_symmetry_space_group_name_Hall 'C 2c -2'
loop_
_atom_site_label
_atom_site_type_symbol
_atom_site_fract_x
_atom_site_fract_y
_atom_site_fract_z
Li1 Li 0.0000 0.2200 0.0000
Pm1 Pm 0.0000 0.4005 0.6219
Pm2 Pm 0.1718 0.0968 0.5291
Te1 Te 0.0000 0.0375 0.8230
Te2 Te 0.0000 0.2300 0.3510
Te3 Te 0.1655 0.4606 0.3243
Te4 Te 0.1758 0.2735 0.8055

4.
# Li5PmTe4 PBE optimized geometry
# E = -75.94 eV/cell
# formation energy without anion corrections = -1.11 eV/atom
data_Li5PmTe4
_chemical_formula_sum 'Li10 Pm2 Te8'
_cell_length_a 4.4626
_cell_length_b 8.1956
_cell_length_c 14.9858
_cell_angle_alpha 90.00
_cell_angle_beta 90.00
_cell_angle_gamma 90.00
_symmetry_space_group_name_H-M 'I m m m'
_symmetry_Int_Tables_number 71
_symmetry_space_group_name_Hall '-I 2 2'
loop_
_atom_site_label
_atom_site_type_symbol
_atom_site_fract_x
_atom_site_fract_y
_atom_site_fract_z
Li1 Li 0.0000 0.0000 0.0000
Li2 Li 0.0000 0.2006 0.3191
Pm1 Pm 0.0000 0.5000 0.0000
Te1 Te 0.0000 0.2688 0.5000
Te2 Te 0.0000 0.5000 0.2168

5.
# LiPmTe PBE optimized geometry
# energy relative to the lowest polymorph listed for this composition = 124 meV per atom
# E = -24.69 eV/cell
# formation energy without anion corrections = -0.85 eV/atom
data_LiPmTe
_chemical_formula_sum 'Li2 Pm2 Te2'
_cell_length_a 4.6410
_cell_length_b 6.1328
_cell_length_c 6.1389
_cell_angle_alpha 90.00
_cell_angle_beta 112.17
_cell_angle_gamma 90.00
_symmetry_space_group_name_H-M 'P 1 21/m 1'
_symmetry_Int_Tables_number 11
_symmetry_space_group_name_Hall '-P 2yb'
loop_
_atom_site_label
_atom_site_type_symbol
_atom_site_fract_x
_atom_site_fract_y
_atom_site_fract_z
Li1 Li 0.0723 0.2500 0.1472
Pm1 Pm 0.3815 0.2500 0.7669
Te1 Te 0.3156 0.7500 0.6291

6.
# LiPm2ThTe5 PBE optimized geometry
# E = -182.16 eV/cell
# formation energy without anion corrections = -1.22 eV/atom
data_LiPm2ThTe5
_chemical_formula_sum 'Li4 Pm8 Th4 Te20'
_cell_length_a 4.3855
_cell_length_b 18.8268
_cell_length_c 13.4485
_cell_angle_alpha 90.00
_cell_angle_beta 90.00
_cell_angle_gamma 90.00
_symmetry_space_group_name_H-M 'C m c 21'
_symmetry_Int_Tables_number 36
_symmetry_space_group_name_Hall 'C 2c -2'
loop_
_atom_site_label
_atom_site_type_symbol
_atom_site_fract_x
_atom_site_fract_y
_atom_site_fract_z
Li1 Li 0.0000 0.0521 0.0000
Pm1 Pm 0.0000 0.3718 0.8406
Pm2 Pm 0.0000 0.3934 0.2280
Th1 Th 0.0000 0.3007 0.5505
Te1 Te 0.0000 0.0039 0.3209
Te2 Te 0.0000 0.1341 0.5420
Te3 Te 0.0000 0.1841 0.8827
Te4 Te 0.0000 0.2161 0.2174
Te5 Te 0.0000 0.4540 0.6115